Model 1:
Below is Li2Sc2In after structural relaxation, with properties calculated at the PBE level.

Lattice parameters (Å, degrees): 6.7650 6.7650 4.4680 90.00 90.00 90.00
Site moments in Bohr magnetons follow the coordinates.
Element x y z (fractional)
1 Sc 0.1882 0.6882 0.5000  0.27
2 Sc 0.6882 0.8118 0.5000  0.28
3 Sc 0.8118 0.3118 0.5000  0.27
4 Sc 0.3118 0.1882 0.5000  0.28
5 Li 0.3755 0.8755 0.0000  0.03
6 Li 0.8755 0.6245 0.0000  0.02
7 Li 0.6245 0.1245 0.0000  0.03
8 Li 0.1245 0.3755 0.0000  0.02
9 In 0.0000 0.0000 0.0000  -0.02
10 In 0.5000 0.5000 0.0000  -0.02

Computed properties:
Calculated volume, A^3/atom: 20.4
DOS at the Fermi energy, states/eV/f.u.: 3.63

=====

Model 2:
Below is Li2Sc2In after structural relaxation, with properties calculated at the PBE level.

Lattice parameters (Å, degrees): 3.3787 3.3787 9.7646 80.04 80.04 90.00
Site moments in Bohr magnetons follow the coordinates.
Element x y z (fractional)
1 Sc 0.3947 0.3947 0.2106  0.20
2 Sc 0.6053 0.6053 0.7894  0.20
3 Li 0.7500 0.2500 0.5000  0.03
4 Li 0.2500 0.7500 0.5000  0.03
5 In 0.0000 0.0000 0.0000  0.00

Computed properties:
Calculated volume, A^3/atom: 21.6
DOS at the Fermi energy, states/eV/f.u.: 5.23

=====

In terms of stability, model 1 leads; the second structure lies 110 meV per atom higher.

=====

Model 1:
Below is LiIn2Se after structural relaxation, with properties calculated at the PBE level.

Lattice parameters (Å, degrees): 3.8342 4.0726 6.7514 72.37 90.00 90.00
Element x y z (fractional)
1 In 0.0000 0.8063 0.0156
2 In 0.5000 0.2014 0.2198
3 Li 0.0000 0.5053 0.6134
4 Se 0.5000 0.9870 0.6512

Computed properties:
Calculated volume, A^3/atom: 25.1
DOS at the Fermi energy, states/eV/f.u.: 1.63

=====

Model 2:
Below is LiIn2Se after structural relaxation, with properties calculated at the PBE level.

Lattice parameters (Å, degrees): 8.3062 8.3062 8.3062 26.32 26.32 26.32
Element x y z (fractional)
1 In 0.0041 0.0041 0.0041
2 In 0.4959 0.4959 0.4959
3 Li 0.2500 0.2500 0.2500
4 Se 0.7500 0.7500 0.7500

Computed properties:
Calculated volume, A^3/atom: 24.8
DOS at the Fermi energy, states/eV/f.u.: 1.73

=====

Model 3:
Below is LiIn2Se after structural relaxation, with properties calculated at the PBE level.

Lattice parameters (Å, degrees): 3.7201 3.7201 6.9310 90.00 90.00 90.00
Element x y z (fractional)
1 In 0.0000 0.0000 0.9873
2 In 0.5000 0.5000 0.2696
3 Li 0.0000 0.0000 0.5795
4 Se 0.5000 0.5000 0.6636

Computed properties:
Calculated volume, A^3/atom: 24.0
DOS at the Fermi energy, states/eV/f.u.: 1.40

=====

In terms of stability, model 1 leads; the second structure lies 52 meV per atom higher.

=====

Model 1:
Below is LiIn3Se after structural relaxation, with properties calculated at the PBE level.

Lattice parameters (Å, degrees): 5.0602 5.0602 5.0602 90.00 90.00 90.00
Element x y z (fractional)
1 Li 0.0000 0.0000 0.0000
2 Se 0.5000 0.5000 0.5000
3 In 0.0000 0.5000 0.0000
4 In 0.0000 0.0000 0.5000
5 In 0.5000 0.0000 0.0000

Computed properties:
Calculated volume, A^3/atom: 25.9
DOS at the Fermi energy, states/eV/f.u.: 0.97

=====

Model 2:
Below is LiIn3Se after structural relaxation, with properties calculated at the PBE level.

Lattice parameters (Å, degrees): 5.6747 5.6747 5.6747 90.00 90.00 90.00
Element x y z (fractional)
1 Li 0.5000 0.5000 0.5000
2 Se 0.0000 0.0000 0.0000
3 In 0.0000 0.5000 0.0000
4 In 0.0000 0.0000 0.5000
5 In 0.5000 0.0000 0.0000

Computed properties:
Calculated volume, A^3/atom: 36.5
DOS at the Fermi energy, states/eV/f.u.: 3.44

=====

In terms of stability, model 1 leads; the second structure lies 195 meV per atom higher.

=====

Model 1:
Below is Li3InSe after structural relaxation, with properties calculated at the PBE level.

Lattice parameters (Å, degrees): 4.8509 4.8509 4.8509 90.00 90.00 90.00
Element x y z (fractional)
1 Li 0.0000 0.5000 0.0000
2 Li 0.0000 0.0000 0.5000
3 Li 0.5000 0.0000 0.0000
4 Se 0.0000 0.0000 0.0000
5 In 0.5000 0.5000 0.5000

Computed properties:
Calculated volume, A^3/atom: 22.8
DOS at the Fermi energy, states/eV/f.u.: 2.81

=====

Model 2:
Below is Li3InSe after structural relaxation, with properties calculated at the PBE level.

Lattice parameters (Å, degrees): 5.0489 5.0489 5.0489 90.00 90.00 90.00
Site moments in Bohr magnetons follow the coordinates.
Element x y z (fractional)
1 Li 0.0000 0.5000 0.0000  0.02
2 Li 0.0000 0.0000 0.5000  0.05
3 Li 0.5000 0.0000 0.0000  0.02
4 Se 0.5000 0.5000 0.5000  0.01
5 In 0.0000 0.0000 0.0000  0.37

Computed properties:
Calculated volume, A^3/atom: 25.7
DOS at the Fermi energy, states/eV/f.u.: 3.51

=====

In terms of stability, model 1 leads; the second structure lies 704 meV per atom higher.

=====

Model 1:
Below is Li4InSi after structural relaxation, with properties calculated at the PBE level.

Lattice parameters (Å, degrees): 4.4134 4.4136 5.7988 90.03 90.00 120.00
Element x y z (fractional)
1 Li 0.6707 0.8331 0.2797
2 Li 0.3373 0.1658 0.7166
3 Li 0.6706 0.8323 0.7167
4 Li 0.3375 0.1666 0.2796
5 In 0.0040 0.4995 0.9981
6 Si 0.0040 0.4994 0.4981

Computed properties:
Calculated volume, A^3/atom: 16.3
DOS at the Fermi energy, states/eV/f.u.: 1.05

=====

Model 2:
Below is Li4InSi after structural relaxation, with properties calculated at the PBE level.

Lattice parameters (Å, degrees): 5.2366 5.2366 5.2366 60.00 60.00 60.00
Element x y z (fractional)
1 Li 0.8723 0.3759 0.3759
2 Li 0.3759 0.3759 0.8723
3 Li 0.3759 0.8723 0.3759
4 Li 0.3759 0.3759 0.3759
5 In 0.0000 0.0000 0.0000
6 Si 0.7500 0.7500 0.7500

Computed properties:
Calculated volume, A^3/atom: 16.9
DOS at the Fermi energy, states/eV/f.u.: 3.38

=====

In terms of stability, model 1 leads; the second structure lies 262 meV per atom higher.

=====

Model 1:
Below is Li3InSi after structural relaxation, with properties calculated at the PBE level.

Lattice parameters (Å, degrees): 4.8222 4.8222 4.8222 90.00 90.00 90.00
Element x y z (fractional)
1 Si 0.0000 0.0000 0.0000
2 Li 0.0000 0.5000 0.0000
3 Li 0.0000 0.0000 0.5000
4 Li 0.5000 0.0000 0.0000
5 In 0.5000 0.5000 0.5000

Computed properties:
Calculated volume, A^3/atom: 22.4
DOS at the Fermi energy, states/eV/f.u.: 2.10

=====

Model 2:
Below is Li3InSi after structural relaxation, with properties calculated at the PBE level.

Lattice parameters (Å, degrees): 4.9431 4.9431 4.9431 90.00 90.00 90.00
Element x y z (fractional)
1 Si 0.5000 0.5000 0.5000
2 Li 0.0000 0.5000 0.0000
3 Li 0.0000 0.0000 0.5000
4 Li 0.5000 0.0000 0.0000
5 In 0.0000 0.0000 0.0000

Computed properties:
Calculated volume, A^3/atom: 24.2
DOS at the Fermi energy, states/eV/f.u.: 2.10

=====

In terms of stability, model 1 leads; the second structure lies 483 meV per atom higher.

=====

Model 1:
Below is LiSmInSn after structural relaxation, with properties calculated at the PBE level.

Lattice parameters (Å, degrees): 5.2193 5.2193 5.2193 60.00 60.00 60.00
Element x y z (fractional)
1 Li 0.5000 0.5000 0.5000
2 Sn 0.2500 0.2500 0.2500
3 Sm 0.0000 0.0000 0.0000
4 In 0.7500 0.7500 0.7500

Computed properties:
Calculated volume, A^3/atom: 25.1
DOS at the Fermi energy, states/eV/f.u.: 2.00

=====

Model 2:
Below is LiSmInSn after structural relaxation, with properties calculated at the PBE level.

Lattice parameters (Å, degrees): 4.5135 4.5633 4.7276 90.00 90.00 90.00
Element x y z (fractional)
1 Li 0.5000 0.0000 0.5000
2 Sm 0.5000 0.5000 0.0000
3 In 0.0000 0.5000 0.5000
4 Sn 0.0000 0.0000 0.0000

Computed properties:
Calculated volume, A^3/atom: 24.3
DOS at the Fermi energy, states/eV/f.u.: 1.65

=====

In terms of stability, model 2 leads; the second structure lies 105 meV per atom higher.

=====

Model 1:
Below is LiIn2Sn2 after structural relaxation, with properties calculated at the PBE level.

Lattice parameters (Å, degrees): 4.3855 4.3855 8.0868 74.27 74.27 90.00
Element x y z (fractional)
1 Li 0.0000 0.0000 0.0000
2 Sn 0.4001 0.4001 0.1997
3 Sn 0.5999 0.5999 0.8003
4 In 0.7500 0.2500 0.5000
5 In 0.2500 0.7500 0.5000

Computed properties:
Calculated volume, A^3/atom: 28.7
DOS at the Fermi energy, states/eV/f.u.: 2.75

=====

Model 2:
Below is LiIn2Sn2 after structural relaxation, with properties calculated at the PBE level.

Lattice parameters (Å, degrees): 4.8136 4.8136 7.8933 72.25 72.25 60.00
Element x y z (fractional)
1 Li 0.0000 0.0000 0.0000
2 In 0.5668 0.5668 0.2997
3 In 0.4332 0.4332 0.7003
4 Sn 0.2765 0.2765 0.1705
5 Sn 0.7235 0.7235 0.8295

Computed properties:
Calculated volume, A^3/atom: 29.6
DOS at the Fermi energy, states/eV/f.u.: 2.25

=====

Model 3:
Below is LiIn2Sn2 after structural relaxation, with properties calculated at the PBE level.

Lattice parameters (Å, degrees): 7.7493 7.7493 4.4469 90.00 90.00 90.00
Element x y z (fractional)
1 Li 0.0000 0.0000 0.0000
2 Li 0.5000 0.5000 0.0000
3 Sn 0.3602 0.8602 0.0000
4 Sn 0.8602 0.6398 0.0000
5 Sn 0.6398 0.1398 0.0000
6 Sn 0.1398 0.3602 0.0000
7 In 0.1653 0.6653 0.5000
8 In 0.6653 0.8347 0.5000
9 In 0.8347 0.3347 0.5000
10 In 0.3347 0.1653 0.5000

Computed properties:
Calculated volume, A^3/atom: 26.7
DOS at the Fermi energy, states/eV/f.u.: 2.26

=====

In terms of stability, model 3 leads; the second structure lies 45 meV per atom higher.

=====

Model 1:
Below is LiIn2Sn2 after structural relaxation, with properties calculated at the PBE level.

Lattice parameters (Å, degrees): 4.9643 4.9643 7.1077 69.56 69.56 90.00
Element x y z (fractional)
1 Li 0.0000 0.0000 0.0000
2 Sn 0.7500 0.2500 0.5000
3 Sn 0.2500 0.7500 0.5000
4 In 0.3871 0.3871 0.2258
5 In 0.6129 0.6129 0.7742

Computed properties:
Calculated volume, A^3/atom: 30.5
DOS at the Fermi energy, states/eV/f.u.: 2.92

=====

Model 2:
Below is LiIn2Sn2 after structural relaxation, with properties calculated at the PBE level.

Lattice parameters (Å, degrees): 8.4130 8.4130 3.8331 90.00 90.00 90.00
Element x y z (fractional)
1 Li 0.0000 0.0000 0.0000
2 Li 0.5000 0.5000 0.0000
3 Sn 0.1563 0.6563 0.5000
4 Sn 0.6563 0.8437 0.5000
5 Sn 0.8437 0.3437 0.5000
6 Sn 0.3437 0.1563 0.5000
7 In 0.3578 0.8578 0.0000
8 In 0.8578 0.6422 0.0000
9 In 0.6422 0.1422 0.0000
10 In 0.1422 0.3578 0.0000

Computed properties:
Calculated volume, A^3/atom: 27.1
DOS at the Fermi energy, states/eV/f.u.: 2.30

=====

In terms of stability, model 2 leads; the second structure lies 50 meV per atom higher.

=====

Model 1:
Below is Li2InSn2 after structural relaxation, with properties calculated at the PBE level.

Lattice parameters (Å, degrees): 4.2850 4.2850 7.1382 72.53 72.53 90.00
Element x y z (fractional)
1 Li 0.7500 0.2500 0.5000
2 Li 0.2500 0.7500 0.5000
3 Sn 0.3928 0.3928 0.2145
4 Sn 0.6072 0.6072 0.7855
5 In 0.0000 0.0000 0.0000

Computed properties:
Calculated volume, A^3/atom: 23.7
DOS at the Fermi energy, states/eV/f.u.: 1.56

=====

Model 2:
Below is Li2InSn2 after structural relaxation, with properties calculated at the PBE level.

Lattice parameters (Å, degrees): 6.8326 5.2928 6.9082 112.53 100.33 90.37
Element x y z (fractional)
1 Li 0.3413 0.3904 0.5885
2 Li 0.6587 0.6096 0.4115
3 Li 0.1580 0.8023 0.4074
4 Li 0.8420 0.1977 0.5926
5 In 0.7495 0.5536 0.0004
6 In 0.2505 0.4464 0.9996
7 Sn 0.0024 0.7995 0.7739
8 Sn 0.9976 0.2005 0.2261
9 Sn 0.5021 0.0280 0.2255
10 Sn 0.4979 0.9720 0.7745

Computed properties:
Calculated volume, A^3/atom: 22.6
DOS at the Fermi energy, states/eV/f.u.: 1.10

=====

Model 3:
Below is Li2InSn2 after structural relaxation, with properties calculated at the PBE level.

Lattice parameters (Å, degrees): 8.0027 8.0027 3.4558 90.00 90.00 90.00
Element x y z (fractional)
1 Li 0.3780 0.8780 0.0000
2 Li 0.8780 0.6220 0.0000
3 Li 0.6220 0.1220 0.0000
4 Li 0.1220 0.3780 0.0000
5 Sn 0.1760 0.6760 0.5000
6 Sn 0.6760 0.8240 0.5000
7 Sn 0.8240 0.3240 0.5000
8 Sn 0.3240 0.1760 0.5000
9 In 0.0000 0.0000 0.0000
10 In 0.5000 0.5000 0.0000

Computed properties:
Calculated volume, A^3/atom: 22.1
DOS at the Fermi energy, states/eV/f.u.: 1.44

=====

In terms of stability, model 2 leads; the second structure lies 14 meV per atom higher.

=====

Model 1:
Below is Li3In2Sn2 after structural relaxation, with properties calculated at the PBE level.

Lattice parameters (Å, degrees): 3.2060 4.7681 10.7794 102.78 98.55 90.00
Element x y z (fractional)
1 Li 0.0000 0.0000 0.0000
2 Li 0.2031 0.7031 0.4062
3 Li 0.7969 0.2969 0.5938
4 In 0.5719 0.5719 0.1438
5 In 0.4281 0.4281 0.8562
6 Sn 0.6583 0.1583 0.3166
7 Sn 0.3417 0.8417 0.6834

Computed properties:
Calculated volume, A^3/atom: 22.7
DOS at the Fermi energy, states/eV/f.u.: 2.38

=====

Model 2:
Below is Li3In2Sn2 after structural relaxation, with properties calculated at the PBE level.

Lattice parameters (Å, degrees): 3.3302 7.2228 7.2144 111.33 103.34 90.00
Element x y z (fractional)
1 Li 0.0000 0.0000 0.0000
2 Li 0.2774 0.8439 0.5548
3 Li 0.7226 0.1561 0.4452
4 In 0.1384 0.4062 0.2769
5 In 0.8616 0.5938 0.7231
6 Sn 0.4192 0.2683 0.8385
7 Sn 0.5808 0.7317 0.1615

Computed properties:
Calculated volume, A^3/atom: 22.4
DOS at the Fermi energy, states/eV/f.u.: 2.68

=====

In terms of stability, model 1 leads; the second structure lies 13 meV per atom higher.

=====

Model 1:
Below is Li2In3Sn after structural relaxation, with properties calculated at the PBE level.

Lattice parameters (Å, degrees): 3.0797 6.0946 7.9024 81.02 101.24 90.00
Element x y z (fractional)
1 Li 0.6406 0.6893 0.2812
2 Li 0.3594 0.3107 0.7188
3 In 0.0000 0.5000 0.0000
4 In 0.8194 0.8099 0.6388
5 In 0.1806 0.1901 0.3612
6 Sn 0.0000 0.0000 0.0000

Computed properties:
Calculated volume, A^3/atom: 23.9
DOS at the Fermi energy, states/eV/f.u.: 1.79

=====

Model 2:
Below is Li2In3Sn after structural relaxation, with properties calculated at the PBE level.

Lattice parameters (Å, degrees): 6.3454 6.3454 9.8862 118.73 118.73 60.14
Element x y z (fractional)
1 Li 0.7500 0.2500 0.5000
2 Li 0.7599 0.2401 0.0000
3 Li 0.2500 0.7500 0.5000
4 Li 0.2401 0.7599 0.0000
5 In 0.8527 0.8527 0.1774
6 In 0.6753 0.6753 0.8226
7 In 0.1473 0.1473 0.8226
8 In 0.3247 0.3247 0.1774
9 In 0.1747 0.1747 0.3495
10 In 0.8253 0.8253 0.6505
11 Sn 0.6478 0.6478 0.2956
12 Sn 0.3522 0.3522 0.7044

Computed properties:
Calculated volume, A^3/atom: 23.9
DOS at the Fermi energy, states/eV/f.u.: 2.27

=====

In terms of stability, model 2 leads; the second structure lies 10 meV per atom higher.